Here is an optimized crystal structure of Tm6In2Te from the Alexandria database. Energies are from GGA-PBE.

Computed properties:
Density of states at the Fermi level, states/eV per atom: 1.11
Final energy, eV per atom: -4.410
Crystal system: hexagonal

CIF file:
```
data_Tm6In2Te
_space_group_name_H-M_alt 'P -6 2 m'
_space_group_IT_number 189
_space_group_name_Hall 'P -6 -2'
_cell_length_a 8.6339
_cell_length_b 8.6339
_cell_length_c 3.8358
_cell_angle_alpha 90.00
_cell_angle_beta 90.00
_cell_angle_gamma 120.00
loop_
_atom_site_label
_atom_site_type_symbol
_atom_site_fract_x
_atom_site_fract_y
_atom_site_fract_z
Tm1 Tm 0.0000 0.3872 0.0000
Tm2 Tm 0.0000 0.7214 0.5000
In1 In 0.3333 0.6667 0.5000
Te1 Te 0.0000 0.0000 0.0000
```



Here is an optimized crystal structure of LiHgPtAu from the Alexandria database. Energies are from GGA-PBE.

Computed properties:
Density of states at the Fermi level, states/eV per atom: 0.78
Final energy, eV per atom: -3.163
Energy relative to the elements, eV per atom: -0.28
Crystal system: cubic

CIF file:
```
data_LiHgPtAu
_space_group_name_H-M_alt 'F -4 3 m'
_space_group_IT_number 216
_space_group_name_Hall 'F -4 2 3'
_cell_length_a 6.508
_cell_length_b 6.508
_cell_length_c 6.508
_cell_angle_alpha 90.00
_cell_angle_beta 90.00
_cell_angle_gamma 90.00
loop_
_atom_site_label
_atom_site_type_symbol
_atom_site_fract_x
_atom_site_fract_y
_atom_site_fract_z
Li1 Li 0.000 0.000 0.000
Hg1 Hg 0.250 0.250 0.250
Pt1 Pt 0.000 0.000 0.500
Au1 Au 0.250 0.250 0.750
```



Here is an optimized crystal structure of CsTl2Au4 from the Alexandria database. Energies are from GGA-PBE.

Computed properties:
Density of states at the Fermi level, states/eV per atom: 0.55
Final energy, eV per atom: -2.756
Energy relative to the elements, eV per atom: -0.09
Crystal system: tetragonal

CIF file:
```
data_CsTl2Au4
_space_group_name_H-M_alt 'I 4/m c m'
_space_group_IT_number 140
_space_group_name_Hall '-I 4 2c'
_cell_length_a 9.450
_cell_length_b 9.450
_cell_length_c 8.599
_cell_angle_alpha 90.00
_cell_angle_beta 90.00
_cell_angle_gamma 90.00
loop_
_atom_site_label
_atom_site_type_symbol
_atom_site_fract_x
_atom_site_fract_y
_atom_site_fract_z
Cs1 Cs 0.000 0.000 0.250
Tl1 Tl 0.164 0.336 0.000
Au1 Au 0.134 0.366 0.338
```



Here is an optimized crystal structure of Na2LiNbRu from the Alexandria database. Energies are from GGA-PBE.

Computed properties:
Density of states at the Fermi level, states/eV per atom: 0.70
Final energy, eV per atom: -3.727
Energy relative to the elements, eV per atom: 1.05
Crystal system: tetragonal

CIF file:
```
data_Na2LiNbRu
_space_group_name_H-M_alt 'P 4/m m m'
_space_group_IT_number 123
_space_group_name_Hall '-P 4 2'
_cell_length_a 4.106
_cell_length_b 4.106
_cell_length_c 5.041
_cell_angle_alpha 90.00
_cell_angle_beta 90.00
_cell_angle_gamma 90.00
loop_
_atom_site_label
_atom_site_type_symbol
_atom_site_fract_x
_atom_site_fract_y
_atom_site_fract_z
Na1 Na 0.000 0.500 0.000
Li1 Li 0.000 0.000 0.000
Nb1 Nb 0.500 0.500 0.500
Ru1 Ru 0.000 0.000 0.500
```



Here is an optimized crystal structure of PaMoS3 from the Alexandria database. Energies are from GGA-PBE.

Computed properties:
Density of states at the Fermi level, states/eV per atom: 0.31
Final energy, eV per atom: -7.669
Crystal system: monoclinic

CIF file:
```
data_PaMoS3
_space_group_name_H-M_alt 'P 1 21/c 1'
_space_group_IT_number 14
_cell_length_a 7.443
_cell_length_b 6.015
_cell_length_c 9.436
_cell_angle_alpha 90.00
_cell_angle_beta 100.84
_cell_angle_gamma 90.00
loop_
_space_group_symop_operation_xyz
'x,y,z'
'-x,-y,-z'
'-x,y+1/2,-z+1/2'
'x,-y+1/2,z+1/2'
loop_
_atom_site_label
_atom_site_type_symbol
_atom_site_fract_x
_atom_site_fract_y
_atom_site_fract_z
Pa1 Pa 0.237 0.237 0.273
Mo1 Mo 0.434 0.715 0.921
S1 S 0.112 0.634 0.335
S2 S 0.260 0.054 0.526
S3 S 0.427 0.580 0.653
```



Here is an optimized crystal structure of KLiRhPb2 from the Alexandria database. Energies are from GGA-PBE.

Computed properties:
Density of states at the Fermi level, states/eV per atom: 0.79
Final energy, eV per atom: -3.639
Energy relative to the elements, eV per atom: -0.08
Crystal system: tetragonal

CIF file:
```
data_KLiRhPb2
_space_group_name_H-M_alt 'P 4/m m m'
_space_group_IT_number 123
_space_group_name_Hall '-P 4 2'
_cell_length_a 5.287
_cell_length_b 5.287
_cell_length_c 5.221
_cell_angle_alpha 90.00
_cell_angle_beta 90.00
_cell_angle_gamma 90.00
loop_
_atom_site_label
_atom_site_type_symbol
_atom_site_fract_x
_atom_site_fract_y
_atom_site_fract_z
K1 K 0.000 0.000 0.000
Li1 Li 0.500 0.500 0.000
Rh1 Rh 0.500 0.500 0.500
Pb1 Pb 0.000 0.500 0.500
```



Here is an optimized crystal structure of ZnAsCl2 from the Alexandria database. Energies are from GGA-PBE.

Computed properties:
Density of states at the Fermi level, states/eV per atom: 0.31
Final energy, eV per atom: -2.541
Offset from the most stable computed form, eV per atom: 0.289
Crystal system: orthorhombic

CIF file:
```
data_ZnAsCl2
_space_group_name_H-M_alt 'I m m m'
_space_group_IT_number 71
_space_group_name_Hall '-I 2 2'
_cell_length_a 3.403
_cell_length_b 4.563
_cell_length_c 14.153
_cell_angle_alpha 90.00
_cell_angle_beta 90.00
_cell_angle_gamma 90.00
loop_
_atom_site_label
_atom_site_type_symbol
_atom_site_fract_x
_atom_site_fract_y
_atom_site_fract_z
Zn1 Zn 0.000 0.000 0.000
As1 As 0.000 0.000 0.500
Cl1 Cl 0.000 0.500 0.141
```



Here is an optimized crystal structure of Ba3In7Sn4 from the Alexandria database. Energies are from GGA-PBE.

Computed properties:
Density of states at the Fermi level, states/eV per atom: 0.46
Final energy, eV per atom: -3.287
Energy relative to the elements, eV per atom: -0.36
Crystal system: monoclinic

CIF file:
```
data_Ba3In7Sn4
_space_group_name_H-M_alt 'C 1 2/m 1'
_space_group_IT_number 12
_cell_length_a 19.189
_cell_length_b 4.927
_cell_length_c 11.636
_cell_angle_alpha 90.00
_cell_angle_beta 125.92
_cell_angle_gamma 90.00
loop_
_space_group_symop_operation_xyz
'x,y,z'
'-x,-y,-z'
'-x,y,-z'
'x,-y,z'
'x+1/2,y+1/2,z'
'-x+1/2,-y+1/2,-z'
'-x+1/2,y+1/2,-z'
'x+1/2,-y+1/2,z'
loop_
_atom_site_label
_atom_site_type_symbol
_atom_site_fract_x
_atom_site_fract_y
_atom_site_fract_z
Ba1 Ba 0.000 0.000 0.000
Ba2 Ba 0.186 0.500 0.688
In1 In 0.000 0.000 0.500
In2 In 0.004 0.500 0.300
In3 In 0.154 0.000 0.433
In4 In 0.178 0.500 0.036
Sn1 Sn 0.129 0.000 0.854
Sn2 Sn 0.156 0.500 0.280
```



Here is an optimized crystal structure of KNp2SeS4 from the Alexandria database. Energies are from GGA-PBE.

Computed properties:
Density of states at the Fermi level, states/eV per atom: 2.41
Final energy, eV per atom: -6.878
Crystal system: orthorhombic

CIF file:
```
data_KNp2SeS4
_space_group_name_H-M_alt 'C m c m'
_space_group_IT_number 63
_space_group_name_Hall '-C 2c 2'
_cell_length_a 3.938
_cell_length_b 14.104
_cell_length_c 13.447
_cell_angle_alpha 90.00
_cell_angle_beta 90.00
_cell_angle_gamma 90.00
loop_
_atom_site_label
_atom_site_type_symbol
_atom_site_fract_x
_atom_site_fract_y
_atom_site_fract_z
K1 K 0.000 0.146 0.250
Np1 Np 0.000 0.373 0.085
Se1 Se 0.000 0.137 0.750
S1 S 0.000 0.000 0.000
S2 S 0.000 0.268 0.588
S3 S 0.000 0.491 0.250
```



Number 1: spin magnetization 0.082 μB per atom. Number 2: spin magnetization 0.000 μB per atom. Number 3: spin magnetization 0.000 μB per atom. Number 4: spin magnetization 0.000 μB per atom. Number 5: spin magnetization 0.000 μB per atom. Number 6: spin magnetization 0.000 μB per atom. Number 7: spin magnetization 0.000 μB per atom. Number 8: spin magnetization 0.000 μB per atom. Number 9: spin magnetization 0.768 μB per atom.